1.
## TmCd2Ge (PBE-GGA)

Data for a relaxed structure of TmCd2Ge.

Unit cell a=3.223 b=3.223 c=11.136 alpha=81.68 beta=81.68 gamma=60.00
Element x y z (fractional)
Cd 0.906 0.906 0.281
Tm 0.000 0.000 0.000
Ge 0.500 0.500 0.500
Cd 0.094 0.094 0.719

The energy above the lowest structure with this stoichiometry comes out at 0.621 eV/atom. Its mass density is 7841 kg/m³. Its total magnetic moment is 0.00 μB/f.u. Its formation energy from the elements is 0.258 eV/atom.

2.
## TmCdGe4 (PBE-GGA)

Data for a relaxed structure of TmCdGe4.

Unit cell a=5.593 b=5.593 c=5.593 alpha=60.00 beta=60.00 gamma=60.00
Element x y z (fractional)
Tm 0.000 0.000 0.000
Ge 0.625 0.625 0.625
Ge 0.124 0.625 0.625
Cd 0.250 0.250 0.250
Ge 0.625 0.124 0.625
Ge 0.625 0.625 0.124

Its mass density is 7675 kg/m³. Its total magnetic moment is 0.00 μB/f.u. Its formation energy from the elements is -0.114 eV/atom.

3.
## UCdGe2 (PBE-GGA)

Data for a relaxed structure of UCdGe2.

Unit cell a=3.952 b=4.557 c=4.557 alpha=90.00 beta=90.00 gamma=90.00
Element x y z (fractional)
Ge 0.000 0.000 0.500
Cd 0.500 0.000 0.000
Ge 0.000 0.500 0.000
U 0.500 0.500 0.500

Its mass density is 10030 kg/m³. Its total magnetic moment is 1.88 μB/f.u. Its formation energy from the elements is -0.145 eV/atom.

4.
## UCdGe2 (PBE-GGA)

Data for a relaxed structure of UCdGe2.

Unit cell a=4.425 b=4.425 c=7.952 alpha=73.85 beta=73.85 gamma=60.00
Element x y z (fractional)
Cd 0.000 0.000 0.000
Ge 0.114 0.114 0.658
U 0.500 0.500 0.500
Ge 0.886 0.886 0.342

Its mass density is 6447 kg/m³. Its total magnetic moment is 0.06 μB/f.u. Its formation energy from the elements is 0.514 eV/atom.

5.
## V2Cd2Ge (PBE-GGA)

Data for a relaxed structure of V2Cd2Ge.

Unit cell a=8.054 b=8.054 c=2.998 alpha=90.00 beta=90.00 gamma=90.00
Element x y z (fractional)
Ge 0.500 0.500 0.000
V 0.584 0.916 0.500
Cd 0.704 0.204 0.000
V 0.416 0.084 0.500
Cd 0.296 0.796 0.000
Cd 0.796 0.704 0.000
Ge 0.000 0.000 0.000
Cd 0.204 0.296 0.000
V 0.084 0.584 0.500
V 0.916 0.416 0.500

The energy above the lowest structure with this stoichiometry comes out at 0.036 eV/atom. Its mass density is 6819 kg/m³. Its total magnetic moment is 0.00 μB/f.u. Its formation energy from the elements is 0.518 eV/atom.

6.
## VCdGe (PBE-GGA)

Data for a relaxed structure of VCdGe.

Unit cell a=3.295 b=3.295 c=9.744 alpha=90.09 beta=90.09 gamma=90.00
Element x y z (fractional)
V 0.626 0.626 0.730
Cd 0.128 0.128 0.257
Ge 0.127 0.127 0.841
V 0.125 0.125 0.578
Cd 0.628 0.628 0.051
Ge 0.625 0.625 0.466

Its mass density is 7407 kg/m³. Its total magnetic moment is 0.00 μB/f.u. Its formation energy from the elements is -0.023 eV/atom.